Tl4InPb4 PBE-GGA optimized geometry; formation enthalpy at 0 K = -0.2 kJ/mol of atoms; density = 10.5 Mg/m³; raw total energy = -0.221 Ry/atom; magnetic moment = 0.00 μB/f.u.
1.0
-5.319 5.319 2.450
5.319 -5.319 2.450
5.319 5.319 -2.450
Tl In Pb
4 1 4
direct
0.000 0.330 0.330
0.000 0.670 0.670
0.330 0.000 0.330
0.670 0.000 0.670
0.000 0.000 0.000
0.336 0.336 0.672
0.336 0.664 0.000
0.664 0.336 0.000
0.664 0.664 0.328